# 1
Material: MnCo3Cl
Method: DFT, PBE-GGA
State: relaxed

a = 4.3014 Å, b = 4.3014 Å, c = 4.3014 Å
α = 90.00°, β = 90.00°, γ = 90.00°
Closest atoms and distances in Å follow each position.
Fractional positions:
Cl 0.5000 0.5000 0.5000  12 Co 3.04
Mn 0.0000 0.0000 0.0000  6 Co 2.15
Co 0.0000 0.5000 0.0000  2 Mn 2.15
Co 0.0000 0.0000 0.5000  2 Mn 2.15
Co 0.5000 0.0000 0.0000  2 Mn 2.15

Values from the calculation:
electronic total energy	-5.1109	eV/atom
crystal system	cubic
ΔE_f (raw)	131	kJ/mol of atoms
distance to the lowest polymorph of the same formula	3.02	eV/f.u.



# 2
Material: PbC
Method: DFT, PBE-GGA
State: relaxed

a = 3.3993 Å, b = 3.3993 Å, c = 4.5941 Å
α = 90.00°, β = 90.00°, γ = 90.00°
Closest atoms and distances in Å follow each position.
Fractional positions:
Pb 0.5000 0.5000 0.0000  4 C 2.40
C 0.0000 0.0000 0.0000  4 Pb 2.40

Values from the calculation:
DFT formation energy	2.22	eV per atom
electronic total energy	-4.2507	eV/atom
crystal system	tetragonal
distance to the lowest polymorph of the same formula	2.73	eV/f.u.



# 3
Material: Sr2NiSe
Method: DFT, PBE-GGA
State: relaxed

a = 8.0654 Å, b = 8.0654 Å, c = 8.0654 Å
α = 151.32°, β = 151.61°, γ = 40.79°
Closest atoms and distances in Å follow each position.
Fractional positions:
Ni 0.5460 0.5460 0.0000  6 Sr 3.13
Se 0.2938 0.7938 0.5000  6 Sr 3.11-3.14
Sr 0.9551 0.9551 0.0000  4 Ni 3.13, 2 Se 3.14
Sr 0.7051 0.2051 0.5000  4 Se 3.11, 2 Ni 3.13

Values from the calculation:
electronic total energy	-3.8509	eV/atom
crystal system	orthorhombic
ΔE_f (raw)	-67	kJ/mol of atoms



# 4
Material: Li2Sm3Zn9
Method: DFT, PBE-GGA
State: relaxed

a = 4.5116 Å, b = 8.3357 Å, c = 8.3357 Å
α = 63.03°, β = 74.30°, γ = 74.30°
Closest atoms and distances in Å follow each position.
Fractional positions:
Zn 0.8650 0.4226 0.8473  4 Zn 2.59-2.84
Zn 0.1349 0.5774 0.1527  4 Zn 2.59-2.84
Zn 0.3415 0.0136 0.3035  3 Zn 2.53-2.60, 1 Li 2.61
Zn 0.6585 0.9864 0.6965  3 Zn 2.53-2.60, 1 Li 2.61
Zn 0.1349 0.1527 0.5774  4 Zn 2.59-2.84
Zn 0.0000 0.5000 0.5000  4 Zn 2.59, 4 Li 2.76
Zn 0.8650 0.8473 0.4226  4 Zn 2.59-2.84
Zn 0.6585 0.6965 0.9864  3 Zn 2.53-2.60, 1 Li 2.61
Zn 0.3415 0.3035 0.0136  3 Zn 2.53-2.60, 1 Li 2.61
Sm 0.2876 0.7124 0.7124  12 Zn 3.10-3.24, 2 Li 3.28
Sm 0.0000 0.0000 0.0000  12 Zn 3.10-3.35
Sm 0.7124 0.2876 0.2876  12 Zn 3.10-3.24, 2 Li 3.28
Li 0.5000 0.3168 0.6832  8 Zn 2.61-2.91
Li 0.5000 0.6832 0.3168  8 Zn 2.61-2.91

Values from the calculation:
DFT formation energy	-0.30	eV per atom
electronic total energy	-2.4084	eV/atom
crystal system	orthorhombic



# 5
Material: TbPaN2
Method: DFT, PBE-GGA
State: relaxed

a = 3.4644 Å, b = 3.4644 Å, c = 6.2765 Å
α = 73.98°, β = 73.98°, γ = 60.00°
Closest atoms and distances in Å follow each position.
Fractional positions:
N 0.2588 0.2588 0.2236  3 Pa 2.44, 3 Tb 2.68
N 0.0791 0.0791 0.7626  3 Pa 2.41, 3 Tb 2.45
Tb 0.4920 0.4920 0.5239  6 N 2.45-2.68
Pa 0.6700 0.6700 0.9900  6 N 2.41-2.44

Values from the calculation:
electronic total energy	-9.1236	eV/atom
crystal system	trigonal
ΔE_f (raw)	-138	kJ/mol of atoms



# 6
Material: Fe2Pb
Method: DFT, PBE-GGA
State: relaxed

a = 5.3962 Å, b = 5.3962 Å, c = 4.1698 Å
α = 90.00°, β = 90.00°, γ = 121.36°
Closest atoms and distances in Å follow each position.
Fractional positions:
Fe 0.4261 0.8558 0.2500  6 Fe 2.47-2.72, 1 Pb 2.74
Fe 0.1442 0.5739 0.7500  6 Fe 2.47-2.72, 1 Pb 2.74
Fe 0.5739 0.1442 0.7500  6 Fe 2.47-2.72, 1 Pb 2.74
Fe 0.8558 0.4261 0.2500  6 Fe 2.47-2.72, 1 Pb 2.74
Pb 0.7561 0.7561 0.7500  8 Fe 2.74-2.97
Pb 0.2439 0.2439 0.2500  8 Fe 2.74-2.97

Values from the calculation:
DFT formation energy	0.45	eV per atom
electronic total energy	-6.4304	eV/atom
crystal system	orthorhombic